Entry 1:
{"formula": "Rb2Na6TlAu", "functional": "PBE-GGA", "state": "relaxed", "lattice": [[8.500, 0.000, 0.000], [0.000, 8.500, 0.000], [4.250, 4.250, 6.011]], "species": ["Rb", "Rb", "Na", "Na", "Na", "Na", "Na", "Na", "Tl", "Au"], "frac_coords": [[0.250, 0.750, 0.500], [0.750, 0.250, 0.500], [0.257, 0.743, 0.000], [0.743, 0.743, 0.000], [0.257, 0.257, 0.485], [0.743, 0.257, 0.000], [0.257, 0.257, 0.000], [0.743, 0.743, 0.515], [0.000, 0.000, 0.000], [0.500, 0.500, 0.000]], "ef_ev_per_fu": -0.6, "crystal_system": "cubic", "final_energy_ev_per_atom": -1.614}


Entry 2:
{"formula": "RbNa2ZnAu", "functional": "PBE-GGA", "state": "relaxed", "lattice": [[-3.991, -4.111, 0.379], [2.886, -2.400, 4.347], [-2.633, 2.864, 3.330]], "species": ["Na", "Na", "Zn", "Au", "Rb"], "frac_coords": [[0.000, 0.500, 0.000], [0.500, 0.000, 0.000], [0.000, 0.000, 0.500], [0.000, 0.000, 0.000], [0.500, 0.500, 0.500]], "ef_ev_per_fu": -0.5, "crystal_system": "tetragonal", "final_energy_ev_per_atom": -1.738}


Entry 3:
{"formula": "RbNa2ZnAu", "functional": "PBE-GGA", "state": "relaxed", "lattice": [[5.697, 0.000, 0.000], [0.000, 5.697, 0.000], [0.000, 0.000, 5.075]], "species": ["Na", "Na", "Zn", "Au", "Rb"], "frac_coords": [[0.000, 0.500, 0.000], [0.500, 0.000, 0.000], [0.000, 0.000, 0.000], [0.000, 0.000, 0.500], [0.500, 0.500, 0.500]], "ef_ev_per_fu": -0.2, "crystal_system": "tetragonal", "final_energy_ev_per_atom": -1.670}


Entry 4:
{"formula": "Rb2NaZnAu", "functional": "PBE-GGA", "state": "relaxed", "lattice": [[6.695, 0.000, 0.000], [0.000, 6.695, 0.000], [0.000, 0.000, 5.135]], "species": ["Na", "Zn", "Au", "Rb", "Rb"], "frac_coords": [[0.500, 0.500, 0.500], [0.000, 0.000, 0.500], [0.000, 0.000, 0.000], [0.000, 0.500, 0.000], [0.500, 0.000, 0.000]], "ef_ev_per_fu": -0.2, "crystal_system": "tetragonal", "final_energy_ev_per_atom": -1.601}


Entry 5:
{"formula": "RbNa2ZnAu2", "functional": "PBE-GGA", "state": "relaxed", "lattice": [[4.642, 0.000, 0.000], [0.000, 7.758, 0.000], [0.000, 0.000, 9.756]], "species": ["Rb", "Rb", "Na", "Na", "Na", "Na", "Zn", "Zn", "Au", "Au", "Au", "Au"], "frac_coords": [[0.000, 0.997, 0.455], [0.000, 0.497, 0.545], [0.500, 0.013, 0.095], [0.000, 0.355, 0.133], [0.500, 0.513, 0.905], [0.000, 0.855, 0.867], [0.500, 0.135, 0.764], [0.500, 0.635, 0.236], [0.000, 0.239, 0.845], [0.500, 0.307, 0.313], [0.000, 0.739, 0.155], [0.500, 0.807, 0.687]], "ef_ev_per_fu": -1.3, "crystal_system": "orthorhombic", "final_energy_ev_per_atom": -2.119}


Entry 6:
{"formula": "RbNaZnAu", "functional": "PBE-GGA", "state": "relaxed", "lattice": [[5.610, 0.000, 0.000], [2.805, 4.859, 0.000], [2.805, 1.620, 4.581]], "species": ["Na", "Zn", "Au", "Rb"], "frac_coords": [[0.500, 0.500, 0.500], [0.250, 0.250, 0.250], [0.750, 0.750, 0.750], [0.000, 0.000, 0.000]], "ef_ev_per_fu": 0.1, "crystal_system": "cubic", "final_energy_ev_per_atom": -1.695}


Entry 7:
{"formula": "RbNaZnAu", "functional": "PBE-GGA", "state": "relaxed", "lattice": [[-3.383, 2.442, -1.956], [-0.890, -4.156, 1.780], [1.037, 2.863, 7.248]], "species": ["Rb", "Na", "Zn", "Au"], "frac_coords": [[0.376, 0.052, 0.429], [0.014, 0.872, 0.886], [0.818, 0.273, 0.091], [0.484, 0.607, 0.091]], "ef_ev_per_fu": -0.7, "crystal_system": "monoclinic", "final_energy_ev_per_atom": -1.888}


Entry 8:
{"formula": "RbNaZn2Au", "functional": "PBE-GGA", "state": "relaxed", "lattice": [[-0.569, 5.002, 0.657], [-1.043, -0.763, 4.909], [5.534, 0.465, 1.248]], "species": ["Na", "Zn", "Zn", "Au", "Rb"], "frac_coords": [[0.000, 0.000, 0.500], [0.000, 0.500, 0.000], [0.500, 0.000, 0.000], [0.000, 0.000, 0.000], [0.500, 0.500, 0.500]], "ef_ev_per_fu": -0.5, "crystal_system": "tetragonal", "final_energy_ev_per_atom": -1.715}


Entry 9:
{"formula": "NaReAu2", "functional": "PBE-GGA", "state": "relaxed", "lattice": [[5.057, 0.000, 0.000], [0.000, 5.057, 0.000], [2.529, 2.529, 8.047]], "species": ["Re", "Re", "Au", "Au", "Au", "Au", "Na", "Na"], "frac_coords": [[0.000, 0.000, 0.000], [0.750, 0.250, 0.500], [0.703, 0.125, 0.250], [0.047, 0.625, 0.250], [0.375, 0.297, 0.750], [0.875, 0.953, 0.750], [0.500, 0.500, 0.000], [0.250, 0.750, 0.500]], "ef_ev_per_fu": 4.3, "crystal_system": "tetragonal", "final_energy_ev_per_atom": -4.008}


Entry 10:
{"formula": "NaReAu3", "functional": "PBE-GGA", "state": "relaxed", "lattice": [[-3.854, -1.570, -2.926], [3.277, -1.075, -3.740], [0.536, -4.718, 1.826]], "species": ["Re", "Au", "Au", "Au", "Na"], "frac_coords": [[0.000, 0.000, 0.000], [0.000, 0.500, 0.000], [0.000, 0.000, 0.500], [0.500, 0.000, 0.000], [0.500, 0.500, 0.500]], "ef_ev_per_fu": 3.7, "crystal_system": "cubic", "final_energy_ev_per_atom": -3.980}


Entry 11:
{"formula": "NaReAu2", "functional": "PBE-GGA", "state": "relaxed", "lattice": [[0.000, 3.293, 3.293], [3.293, 0.000, 3.293], [3.293, 3.293, 0.000]], "species": ["Re", "Au", "Au", "Na"], "frac_coords": [[0.500, 0.500, 0.500], [0.250, 0.250, 0.250], [0.750, 0.750, 0.750], [0.000, 0.000, 0.000]], "ef_ev_per_fu": 2.6, "crystal_system": "cubic", "final_energy_ev_per_atom": -4.439}


Entry 12:
{"formula": "Na3ReAu", "functional": "PBE-GGA", "state": "relaxed", "lattice": [[-4.413, -2.720, 2.523], [-2.454, -0.801, -5.156], [2.783, -5.020, -0.544]], "species": ["Re", "Au", "Na", "Na", "Na"], "frac_coords": [[0.000, 0.000, 0.000], [0.500, 0.500, 0.500], [0.000, 0.500, 0.000], [0.000, 0.000, 0.500], [0.500, 0.000, 0.000]], "ef_ev_per_fu": 7.3, "crystal_system": "cubic", "final_energy_ev_per_atom": -2.470}